Density functional theory data (PBE) for a relaxed structure of LiScNi2.

Properties
DFT total energy: -20.50 eV per cell
DFT formation energy: -0.17 eV per atom
DOS at the Fermi energy: 2.4 states/eV/f.u.

abc: 4.245 4.245 4.245
angles: 60.00 60.00 60.00
Element x y z (fractional)
Li  0.500  0.500  0.500
Ni  0.000  0.000  0.000
Ni  0.250  0.250  0.250
Sc  0.750  0.750  0.750

Density functional theory data (PBE) for a relaxed structure of LiScNi2.

Properties
DFT total energy: -19.54 eV per cell
DFT formation energy: 0.07 eV per atom
DOS at the Fermi energy: 4.7 states/eV/f.u.

abc: 8.065 8.065 8.065
angles: 21.08 21.08 21.08
Last column: magnetic moment on the atom in μB.
Element x y z (fractional)
Li  0.750  0.750  0.750  0.00
Ni  0.000  0.000  0.000  0.26
Ni  0.500  0.500  0.500  0.26
Sc  0.250  0.250  0.250  0.05

Density functional theory data (PBE) for a relaxed structure of LiScNi10.

Properties
DFT total energy: -67.00 eV per cell
DFT formation energy: -0.08 eV per atom
DOS at the Fermi energy: 16.4 states/eV/f.u.

abc: 3.972 4.727 8.163
angles: 90.00 90.00 90.00
Last column: magnetic moment on the atom in μB.
Element x y z (fractional)
Li  0.000  0.500  0.500  -0.01
Sc  0.000  0.000  0.000  -0.10
Ni  0.000  0.000  0.335  0.44
Ni  0.000  0.500  0.830  0.35
Ni  0.000  0.500  0.170  0.35
Ni  0.000  0.000  0.665  0.44
Ni  0.500  0.000  0.500  0.51
Ni  0.500  0.500  0.000  0.43
Ni  0.500  0.248  0.249  0.47
Ni  0.500  0.752  0.751  0.47
Ni  0.500  0.752  0.249  0.47
Ni  0.500  0.248  0.751  0.47

Density functional theory data (PBE) for a relaxed structure of LiSc6Ni2.

Properties
DFT total energy: -106.55 eV per cell
DFT formation energy: -0.20 eV per atom
DOS at the Fermi energy: 13.5 states/eV/f.u.

abc: 7.792 7.792 7.792
angles: 106.98 111.55 109.92
Element x y z (fractional)
Li  0.000  0.500  0.500
Li  0.000  0.000  0.000
Sc  0.539  0.721  0.818
Sc  0.461  0.279  0.182
Sc  0.096  0.279  0.818
Sc  0.904  0.721  0.182
Sc  0.798  0.764  0.562
Sc  0.202  0.236  0.438
Sc  0.202  0.764  0.966
Sc  0.798  0.236  0.034
Sc  0.700  0.380  0.679
Sc  0.300  0.620  0.321
Sc  0.300  0.979  0.679
Sc  0.700  0.021  0.321
Ni  0.500  0.375  0.875
Ni  0.500  0.625  0.125
Ni  0.650  0.000  0.650
Ni  0.350  0.000  0.350

Density functional theory data (PBE) for a relaxed structure of LiSc2Ni2.

Properties
energy relative to the lowest polymorph listed for this composition: 191 meV/atom
DFT total energy: -26.79 eV per cell
DFT formation energy: -0.13 eV per atom
DOS at the Fermi energy: 3.0 states/eV/f.u.

abc: 4.839 4.839 5.147
angles: 61.96 61.96 90.00
Element x y z (fractional)
Sc  0.750  0.250  0.500
Sc  0.250  0.750  0.500
Ni  0.351  0.351  0.297
Ni  0.649  0.649  0.703
Li  0.000  0.000  0.000

Density functional theory data (PBE) for a relaxed structure of LiScNi2.

Properties
DFT total energy: -20.82 eV per cell
DFT formation energy: -0.25 eV per atom
DOS at the Fermi energy: 2.0 states/eV/f.u.

abc: 3.154 3.152 5.505
angles: 90.00 90.00 90.00
Element x y z (fractional)
Li  0.500  0.500  0.750
Ni  0.000  0.000  0.981
Ni  0.000  0.000  0.519
Sc  0.500  0.500  0.250

Density functional theory data (PBE) for a relaxed structure of LiSc2Ni2.

Properties
energy relative to the lowest polymorph listed for this composition: 98 meV/atom
DFT total energy: -54.51 eV per cell
DFT formation energy: -0.22 eV per atom
DOS at the Fermi energy: 2.7 states/eV/f.u.

abc: 7.543 7.543 2.975
angles: 90.00 90.00 90.00
Element x y z (fractional)
Sc  0.350  0.850  0.000
Sc  0.850  0.650  0.000
Sc  0.650  0.150  0.000
Sc  0.150  0.350  0.000
Ni  0.141  0.641  0.500
Ni  0.641  0.859  0.500
Ni  0.859  0.359  0.500
Ni  0.359  0.141  0.500
Li  0.000  0.000  0.000
Li  0.500  0.500  0.000

Density functional theory data (PBE) for a relaxed structure of LiScNi2.

Properties
DFT total energy: -20.16 eV per cell
DFT formation energy: -0.09 eV per atom
DOS at the Fermi energy: 1.9 states/eV/f.u.

abc: 2.850 3.731 5.240
angles: 90.00 90.00 90.00
Element x y z (fractional)
Li  0.500  0.500  0.795
Ni  0.000  0.000  0.989
Ni  0.500  0.500  0.244
Sc  0.000  0.000  0.472

- The lowest DFT formation energy belongs to which entry?
  number 6

- Among the records above, which one has the highest DOS at the Fermi energy?
  LiScNi10